[1]
A plane-wave DFT calculation with PBE was carried out for a relaxed structure of TbPrDyMg.

Calculated values
- ΔE_f (eV/atom) = 0.047

Unit cell a=5.5823 b=5.5823 c=5.5823 alpha=60.00 beta=60.00 gamma=60.00
Fractional positions:
Pr 0.7500 0.7500 0.7500
Mg 0.0000 0.0000 0.0000
Tb 0.5000 0.5000 0.5000
Dy 0.2500 0.2500 0.2500



[2]
A plane-wave DFT calculation with PBE was carried out for a relaxed structure of LiBSe2Br.

Calculated values
- energy relative to the elements, uncorrected (eV/atom) = 0.949

Unit cell a=4.3482 b=4.3482 c=7.2516 alpha=90.00 beta=90.00 gamma=90.00
Fractional positions:
B 0.5000 0.5000 0.5000
Se 0.0000 0.5000 0.0000
Se 0.5000 0.0000 0.0000
Br 0.0000 0.0000 0.5000
Li 0.0000 0.0000 0.0000



[3]
A plane-wave DFT calculation with PBE was carried out for a relaxed structure of KRuPt2.

Calculated values
- ΔE_f (eV/atom) = 0.150

Unit cell a=4.6662 b=6.2399 c=6.6638 alpha=67.00 beta=69.97 gamma=76.79
Fractional positions:
K 0.0453 0.3367 0.1614
K 0.4153 0.2559 0.5012
Ru 0.4452 0.8615 0.0105
Ru 0.6550 0.6675 0.7103
Pt 0.8325 0.8372 0.2523
Pt 0.7058 0.2396 0.8709
Pt 0.0457 0.8409 0.8241
Pt 0.2574 0.7625 0.4481



no.,VASP energy (eV per atom),D(E_F) (states/eV/atom)
1,-3.855,1.407
2,-2.497,0.532
3,-5.464,0.768